The following is a DFT calculation (PBE) of crystalline EuVSb2 at its relaxed geometry.

Lattice parameters (Å, degrees): 3.435 3.435 7.974 90.00 90.00 90.00
Positions (direct):
Eu (0.000, 0.000, 0.000)
V (0.000, 0.000, 0.500)
Sb (0.500, 0.500, 0.298)
Sb (0.500, 0.500, 0.702)

Summary:
Total magnetic moment = 8.51 μB per cell
Energy = -28.73 eV for the cell shown
Calculated density = 7.88 g/cm³
E above lowest polymorph = 0 meV per atom
V = 94 Å³ per cell
E_form (uncorrected) = -0.272 eV/atom
SG = P4/mmm


The following is a DFT calculation (PBE) of crystalline PaNbVSi2 at its relaxed geometry.

Lattice parameters (Å, degrees): 6.336 6.336 6.336 143.71 143.71 52.26
Positions (direct):
Pa (0.000, 0.000, 0.000)
Nb (0.750, 0.250, 0.500)
V (0.250, 0.750, 0.500)
Si (0.396, 0.396, 0.000)
Si (0.604, 0.604, 0.000)

Summary:
Total magnetic moment = 0.00 μB per cell
Energy = -42.22 eV for the cell shown
Calculated density = 8.08 g/cm³
V = 89 Å³ per cell
E_form (uncorrected) = -0.537 eV/atom
SG = I-4m2


The following is a DFT calculation (PBE) of crystalline CrCuOs2 at its relaxed geometry.

Lattice parameters (Å, degrees): 4.259 4.259 4.259 60.00 60.00 60.00
Positions (direct):
Cr (0.000, 0.000, 0.000)
Cu (0.750, 0.750, 0.750)
Os (0.250, 0.250, 0.250)
Os (0.500, 0.500, 0.500)

Summary:
Total magnetic moment = 2.09 μB per cell
Formation energy = 0.453 eV per atom
Energy = -34.37 eV for the cell shown
Calculated density = 15.07 g/cm³
E above lowest polymorph = 296 meV per atom
V = 55 Å³ per cell
SG = F-43m


The following is a DFT calculation (PBE) of crystalline Ho8AgTe4Se3 at its relaxed geometry.

Lattice parameters (Å, degrees): 8.491 8.491 8.491 59.33 59.33 59.33
Positions (direct):
Ho (0.239, 0.239, 0.239)
Ho (0.242, 0.741, 0.741)
Ho (0.259, 0.259, 0.758)
Ho (0.259, 0.758, 0.259)
Ho (0.741, 0.242, 0.741)
Ho (0.741, 0.741, 0.242)
Ho (0.758, 0.259, 0.259)
Ho (0.761, 0.761, 0.761)
Ag (0.500, 0.500, 0.500)
Te (0.000, 0.000, 0.000)
Te (0.000, 0.500, 0.500)
Te (0.500, 0.000, 0.500)
Te (0.500, 0.500, 0.000)
Se (0.000, 0.000, 0.500)
Se (0.000, 0.500, 0.000)
Se (0.500, 0.000, 0.000)

Summary:
Total magnetic moment = 0.00 μB per cell
Energy = -83.51 eV for the cell shown
Calculated density = 8.47 g/cm³
V = 426 Å³ per cell
E_form (uncorrected) = -1.314 eV/atom
SG = R-3m


The following is a DFT calculation (PBE) of crystalline TiSiSe2 at its relaxed geometry.

Lattice parameters (Å, degrees): 7.276 7.276 7.276 131.81 131.81 70.53
Positions (direct):
Ti (0.000, 0.000, 0.000)
Ti (0.750, 0.250, 0.500)
Si (0.250, 0.750, 0.500)
Si (0.500, 0.500, 0.000)
Se (0.112, 0.625, 0.987)
Se (0.375, 0.362, 0.487)
Se (0.638, 0.125, 0.013)
Se (0.875, 0.888, 0.513)

Summary:
Total magnetic moment = 3.82 μB per cell
Energy = -41.60 eV for the cell shown
Calculated density = 3.70 g/cm³
V = 210 Å³ per cell
E_form (uncorrected) = -0.128 eV/atom
SG = I-42d


The following is a DFT calculation (PBE) of crystalline LaOsPt2 at its relaxed geometry.

Lattice parameters (Å, degrees): 10.027 10.027 10.027 16.63 16.63 16.63
Positions (direct):
La (0.000, 0.000, 0.000)
Os (0.500, 0.500, 0.500)
Pt (0.240, 0.240, 0.240)
Pt (0.760, 0.760, 0.760)

Summary:
Total magnetic moment = 0.58 μB per cell
Formation energy = 0.246 eV per atom
Energy = -27.25 eV for the cell shown
Calculated density = 16.60 g/cm³
E above lowest polymorph = 667 meV per atom
V = 72 Å³ per cell
SG = R-3m


The following is a DFT calculation (PBE) of crystalline Tl5Bi2Pb6 at its relaxed geometry.

Lattice parameters (Å, degrees): 6.028 8.035 9.331 94.76 107.91 104.85
Positions (direct):
Tl (0.000, 0.000, 0.000)
Tl (0.155, 0.312, 0.769)
Tl (0.305, 0.617, 0.538)
Tl (0.695, 0.383, 0.462)
Tl (0.845, 0.688, 0.231)
Bi (0.473, 0.923, 0.306)
Bi (0.527, 0.077, 0.694)
Pb (0.083, 0.152, 0.382)
Pb (0.230, 0.466, 0.155)
Pb (0.383, 0.773, 0.925)
Pb (0.617, 0.227, 0.075)
Pb (0.770, 0.534, 0.845)
Pb (0.917, 0.848, 0.618)

Summary:
Total magnetic moment = 0.00 μB per cell
Formation energy = -0.004 eV per atom
Energy = -41.89 eV for the cell shown
Calculated density = 10.89 g/cm³
V = 409 Å³ per cell
SG = P-1


The following is a DFT calculation (PBE) of crystalline VTe2P2 at its relaxed geometry.

Lattice parameters (Å, degrees): 7.594 7.594 4.010 90.00 90.00 90.00
Positions (direct):
V (0.000, 0.000, 0.000)
V (0.500, 0.500, 0.000)
Te (0.164, 0.336, 0.000)
Te (0.336, 0.836, 0.000)
Te (0.664, 0.164, 0.000)
Te (0.836, 0.664, 0.000)
P (0.186, 0.686, 0.500)
P (0.314, 0.186, 0.500)
P (0.686, 0.814, 0.500)
P (0.814, 0.314, 0.500)

Summary:
Total magnetic moment = 5.04 μB per cell
Energy = -46.88 eV for the cell shown
Calculated density = 5.29 g/cm³
E above lowest polymorph = 411 meV per atom
V = 231 Å³ per cell
E_form (uncorrected) = 0.556 eV/atom
SG = P4/mbm


The following is a DFT calculation (PBE) of crystalline PbW2Au at its relaxed geometry.

Lattice parameters (Å, degrees): 4.735 4.735 4.735 60.00 60.00 60.00
Positions (direct):
Pb (0.000, 0.000, 0.000)
W (0.500, 0.500, 0.500)
W (0.750, 0.750, 0.750)
Au (0.250, 0.250, 0.250)

Summary:
Total magnetic moment = 0.00 μB per cell
Formation energy = 1.034 eV per atom
Energy = -28.76 eV for the cell shown
Calculated density = 17.08 g/cm³
V = 75 Å³ per cell
SG = F-43m


The following is a DFT calculation (PBE) of crystalline AcCeC at its relaxed geometry.

Lattice parameters (Å, degrees): 8.135 7.710 6.897 67.42 61.06 51.52
Positions (direct):
Ac (0.000, 0.000, 0.000)
Ac (0.000, 0.000, 0.500)
Ac (0.000, 0.500, 0.000)
Ac (0.500, 0.000, 0.000)
Ce (0.241, 0.241, 0.509)
Ce (0.491, 0.491, 0.759)
Ce (0.509, 0.509, 0.241)
Ce (0.759, 0.759, 0.491)
C (0.203, 0.547, 0.203)
C (0.453, 0.797, 0.453)
C (0.547, 0.203, 0.547)
C (0.797, 0.453, 0.797)

Summary:
Total magnetic moment = 0.00 μB per cell
Formation energy = 0.236 eV per atom
Energy = -74.23 eV for the cell shown
Calculated density = 8.56 g/cm³
E above lowest polymorph = 227 meV per atom
V = 294 Å³ per cell
SG = Fddd


The following is a DFT calculation (PBE) of crystalline TaSi2Mo at its relaxed geometry.

Lattice parameters (Å, degrees): 4.387 4.387 4.387 60.00 60.00 60.00
Positions (direct):
Ta (0.000, 0.000, 0.000)
Si (0.250, 0.250, 0.250)
Si (0.750, 0.750, 0.750)
Mo (0.500, 0.500, 0.500)

Summary:
Total magnetic moment = 0.00 μB per cell
Energy = -33.94 eV for the cell shown
Calculated density = 9.26 g/cm³
E above lowest polymorph = 285 meV per atom
V = 60 Å³ per cell
E_form (uncorrected) = -0.103 eV/atom
SG = Fm-3m